[1]
VASP calculation (GGA-PBE) on a geometry-optimized NbB2H structure.

Calculated values
total magnetic moment: 0.0 μB/cell

abc: 3.773 3.773 3.773
angles: 60.00 60.00 60.00
Fractional positions:
1 Nb 0.500 0.500 0.500
2 B 0.750 0.750 0.750
3 B 0.250 0.250 0.250
4 H 0.000 0.000 0.000

***

[2]
VASP calculation (GGA-PBE) on a geometry-optimized Nb2BH structure.

Calculated values
total magnetic moment: 0.0 μB/cell

abc: 4.019 4.019 4.019
angles: 60.00 60.00 60.00
Fractional positions:
1 B 0.500 0.500 0.500
2 Nb 0.250 0.250 0.250
3 Nb 0.750 0.750 0.750
4 H 0.000 0.000 0.000

***

no.,uncorrected energy (eV/atom),distance to the lowest polymorph of the same formula (meV/atom)
1,-5.5080,936
2,-7.4576,400